Density functional theory data (PBE) for crystalline SrTa2Cu at its relaxed geometry.

Results
ΔE to the lowest computed polymorph = 876.0 meV/atom
energy relative to the elements = 1.309 eV/atom

abc: 5.003 5.003 3.114
angles: 90.00 90.00 90.00
Space group P4/mmm (No. 123)
Symmetry-distinct sites (fractional):
Sr (0.000, 0.000, 0.000) (multiplicity 1)
Ta (0.000, 0.500, 0.500) (multiplicity 2)
Cu (0.500, 0.500, 0.000) (multiplicity 1)

---

Density functional theory data (PBE) for crystalline SrTaCu3 at its relaxed geometry.

Results
ΔE to the lowest computed polymorph = 1223.3 meV/atom
energy relative to the elements = 1.914 eV/atom

abc: 4.792 4.792 4.792
angles: 90.00 90.00 90.00
Space group Pm-3m (No. 221)
Symmetry-distinct sites (fractional):
Sr (0.000, 0.000, 0.000) (multiplicity 1)
Ta (0.500, 0.500, 0.500) (multiplicity 1)
Cu (0.000, 0.000, 0.500) (multiplicity 3)

---

Density functional theory data (PBE) for crystalline SrTaCu2 at its relaxed geometry.

Results
ΔE to the lowest computed polymorph = 529.0 meV/atom
energy relative to the elements = 0.793 eV/atom

abc: 7.307 7.307 6.985
angles: 90.00 90.00 90.00
Space group I-42d (No. 122)
Symmetry-distinct sites (fractional):
Sr (0.000, 0.000, 0.000) (multiplicity 4)
Ta (0.000, 0.000, 0.500) (multiplicity 4)
Cu (0.193, 0.250, 0.625) (multiplicity 8)

---

Density functional theory data (PBE) for crystalline SrTa2Cu at its relaxed geometry.

Results
ΔE to the lowest computed polymorph = 196.7 meV/atom
energy relative to the elements = 0.629 eV/atom

abc: 9.764 3.050 6.339
angles: 90.00 100.83 90.00
Space group Cm (No. 8)
Symmetry-distinct sites (fractional):
Sr (0.000, 0.000, 0.000) (multiplicity 2)
Ta (0.207, 0.000, 0.591) (multiplicity 2)
Ta (0.470, 0.000, 0.508) (multiplicity 2)
Cu (0.265, 0.500, 0.274) (multiplicity 2)

---

Density functional theory data (PBE) for crystalline SrTaCu at its relaxed geometry.

Results
ΔE to the lowest computed polymorph = 554.9 meV/atom
energy relative to the elements = 0.811 eV/atom

abc: 3.2599 3.2599 7.2301
angles: 90.00 90.00 120.00
Space group P3m1 (No. 156)
Symmetry-distinct sites (fractional):
Sr (0.0000, 0.0000, 0.0000) (multiplicity 1)
Ta (0.3333, 0.6667, 0.3901) (multiplicity 1)
Cu (0.6667, 0.3333, 0.6434) (multiplicity 1)

---

Density functional theory data (PBE) for crystalline SrTaCu at its relaxed geometry.

Results
ΔE to the lowest computed polymorph = 131.3 meV/atom
energy relative to the elements = 0.388 eV/atom

abc: 3.732 3.909 11.021
angles: 89.04 89.27 89.95
Space group P1 (No. 1)
Symmetry-distinct sites (fractional):
Sr (0.000, 0.000, 0.000) (multiplicity 1)
Sr (0.488, 0.493, 0.320) (multiplicity 1)
Ta (0.475, 0.467, 0.753) (multiplicity 1)
Ta (0.978, 0.473, 0.575) (multiplicity 1)
Cu (0.478, 0.974, 0.568) (multiplicity 1)
Cu (0.971, 0.967, 0.737) (multiplicity 1)

---

Density functional theory data (PBE) for crystalline Sr2TaCu at its relaxed geometry.

Results
ΔE to the lowest computed polymorph = 204.5 meV/atom
energy relative to the elements = 0.706 eV/atom

abc: 3.750 4.631 7.129
angles: 90.00 105.24 90.00
Space group Pm (No. 6)
Symmetry-distinct sites (fractional):
Sr (0.000, 0.000, 0.000) (multiplicity 1)
Sr (0.302, 0.500, 0.604) (multiplicity 1)
Ta (0.608, 0.500, 0.218) (multiplicity 1)
Cu (0.691, 0.000, 0.377) (multiplicity 1)

---

Density functional theory data (PBE) for crystalline SrTaCu at its relaxed geometry.

Results
ΔE to the lowest computed polymorph = 142.7 meV/atom
energy relative to the elements = 0.399 eV/atom

abc: 4.034 4.780 10.220
angles: 79.85 89.69 66.20
Space group P-1 (No. 2)
Symmetry-distinct sites (fractional):
Sr (0.210, 0.128, 0.189) (multiplicity 2)
Ta (0.339, 0.780, 0.522) (multiplicity 2)
Cu (0.082, 0.347, 0.624) (multiplicity 2)

---

Density functional theory data (PBE) for crystalline SrTaCu3 at its relaxed geometry.

Results
ΔE to the lowest computed polymorph = 0.0 meV/atom
energy relative to the elements = 0.691 eV/atom

abc: 4.900 4.900 4.900
angles: 90.00 90.00 90.00
Space group Pm-3m (No. 221)
Symmetry-distinct sites (fractional):
Sr (0.000, 0.000, 0.000) (multiplicity 1)
Ta (0.500, 0.500, 0.500) (multiplicity 1)
Cu (0.000, 0.500, 0.500) (multiplicity 3)

---

Density functional theory data (PBE) for crystalline SrTa2Cu at its relaxed geometry.

Results
ΔE to the lowest computed polymorph = 851.8 meV/atom
energy relative to the elements = 1.284 eV/atom

abc: 6.768 6.768 6.768
angles: 90.00 90.00 90.00
Space group Fm-3m (No. 225)
Symmetry-distinct sites (fractional):
Sr (0.000, 0.000, 0.000) (multiplicity 4)
Ta (0.250, 0.250, 0.250) (multiplicity 8)
Cu (0.000, 0.000, 0.500) (multiplicity 4)

---

Density functional theory data (PBE) for crystalline Sr2TaCu at its relaxed geometry.

Results
ΔE to the lowest computed polymorph = 509.0 meV/atom
energy relative to the elements = 1.010 eV/atom

abc: 4.701 4.701 10.344
angles: 90.00 90.00 90.00
Space group I-4m2 (No. 119)
Symmetry-distinct sites (fractional):
Sr (0.000, 0.000, 0.000) (multiplicity 2)
Sr (0.000, 0.500, 0.250) (multiplicity 2)
Ta (0.000, 0.500, 0.750) (multiplicity 2)
Cu (0.000, 0.000, 0.500) (multiplicity 2)

---

Density functional theory data (PBE) for crystalline SrTa2Cu at its relaxed geometry.

Results
ΔE to the lowest computed polymorph = 262.0 meV/atom
energy relative to the elements = 0.695 eV/atom

abc: 4.143 4.168 9.449
angles: 90.00 90.00 90.00
Space group Cmmm (No. 65)
Symmetry-distinct sites (fractional):
Sr (0.000, 0.000, 0.000) (multiplicity 2)
Ta (0.000, 0.500, 0.313) (multiplicity 4)
Cu (0.000, 0.000, 0.500) (multiplicity 2)